No. 1
ScSb2Se | PBE | relaxed

Output
Symmetry: P4/mmm, No. 123
Formation energy from raw total energies (eV/atom): -0.241
Spin magnetization (μB per cell): 0.0

Lattice parameters (Å, degrees): 5.271 5.271 3.429 90.00 90.00 90.00
Positions (direct):
Sc (0.000, 0.000, 0.000)
Sb (0.000, 0.500, 0.500)
Sb (0.500, 0.000, 0.500)
Se (0.500, 0.500, 0.000)


No. 2
Sc5Sb4Se | PBE | relaxed

Output
Symmetry: Immm, No. 71
Formation energy from raw total energies (eV/atom): -1.071
Spin magnetization (μB per cell): 0.0

Lattice parameters (Å, degrees): 10.893 10.893 10.893 158.35 148.99 38.14
Positions (direct):
Sc (0.000, 0.000, 0.000)
Sc (0.201, 0.201, 0.000)
Sc (0.406, 0.406, 0.000)
Sc (0.594, 0.594, 0.000)
Sc (0.799, 0.799, 0.000)
Sb (0.100, 0.600, 0.500)
Sb (0.303, 0.803, 0.500)
Sb (0.697, 0.197, 0.500)
Sb (0.900, 0.400, 0.500)
Se (0.500, 0.000, 0.500)


No. 3
ScSbSe3 | PBE | relaxed

Output
Symmetry: P2_1/m, No. 11
Formation energy from raw total energies (eV/atom): -0.973
Spin magnetization (μB per cell): 0.0
E above lowest polymorph (eV per atom): 0.000

Lattice parameters (Å, degrees): 7.052 3.931 10.258 90.00 90.24 90.00
Positions (direct):
Sc (0.068, 0.250, 0.336)
Sc (0.932, 0.750, 0.664)
Sb (0.421, 0.250, 0.691)
Sb (0.579, 0.750, 0.309)
Se (0.086, 0.250, 0.814)
Se (0.226, 0.750, 0.492)
Se (0.393, 0.250, 0.176)
Se (0.607, 0.750, 0.824)
Se (0.774, 0.250, 0.508)
Se (0.914, 0.750, 0.186)


No. 4
Sc3SbSe | PBE | relaxed

Output
Symmetry: Pm-3m, No. 221
Formation energy from raw total energies (eV/atom): -0.591
Spin magnetization (μB per cell): 0.0
E above lowest polymorph (eV per atom): 0.392

Lattice parameters (Å, degrees): 4.983 4.983 4.983 90.00 90.00 90.00
Positions (direct):
Sc (0.000, 0.000, 0.500)
Sc (0.000, 0.500, 0.000)
Sc (0.500, 0.000, 0.000)
Sb (0.500, 0.500, 0.500)
Se (0.000, 0.000, 0.000)


No. 5
ScSnSb2Se | PBE | relaxed

Output
Symmetry: P4/mmm, No. 123
Formation energy from raw total energies (eV/atom): 0.357
Spin magnetization (μB per cell): 0.0

Lattice parameters (Å, degrees): 5.387 5.387 5.665 90.00 90.00 90.00
Positions (direct):
Sc (0.000, 0.000, 0.000)
Sn (0.000, 0.000, 0.500)
Sb (0.000, 0.500, 0.000)
Sb (0.500, 0.000, 0.000)
Se (0.500, 0.500, 0.500)


No. 6
SrScSbSe2 | PBE | relaxed

Output
Symmetry: P4/mmm, No. 123
Formation energy from raw total energies (eV/atom): -0.998
Spin magnetization (μB per cell): 0.0

Lattice parameters (Å, degrees): 5.228 5.228 5.490 90.00 90.00 90.00
Positions (direct):
Sr (0.000, 0.000, 0.000)
Sc (0.500, 0.500, 0.500)
Sb (0.500, 0.500, 0.000)
Se (0.000, 0.500, 0.500)
Se (0.500, 0.000, 0.500)


No. 7
SrSc2SbSe | PBE | relaxed

Output
Symmetry: P4/mmm, No. 123
Formation energy from raw total energies (eV/atom): 0.819
Spin magnetization (μB per cell): 0.0

Lattice parameters (Å, degrees): 5.720 5.720 5.246 90.00 90.00 90.00
Positions (direct):
Sr (0.000, 0.000, 0.000)
Sc (0.000, 0.500, 0.000)
Sc (0.500, 0.000, 0.000)
Sb (0.500, 0.500, 0.500)
Se (0.000, 0.000, 0.500)


No. 8
TbScSbSe | PBE | relaxed

Output
Symmetry: R3m, No. 160
Formation energy from raw total energies (eV/atom): -1.314
Spin magnetization (μB per cell): 0.0

Lattice parameters (Å, degrees): 4.065 4.065 21.161 90.00 90.00 120.00
Positions (direct):
Tb (0.000, 0.000, 0.000)
Tb (0.333, 0.667, 0.667)
Tb (0.667, 0.333, 0.333)
Sc (0.000, 0.000, 0.821)
Sc (0.333, 0.667, 0.488)
Sc (0.667, 0.333, 0.154)
Sb (0.000, 0.000, 0.238)
Sb (0.333, 0.667, 0.905)
Sb (0.667, 0.333, 0.572)
Se (0.000, 0.000, 0.419)
Se (0.333, 0.667, 0.085)
Se (0.667, 0.333, 0.752)


Record-wise uncorrected energy values, in eV/atom: -4.76; -6.23; -5.15; -5.91; -4.06; -4.82; -3.57; -5.96
Record-wise ρ values, in kg/m3: 6403; 5352; 4714; 4505; 4910; 4562; 3660; 6656